VASP calculation (PBE-GGA) on a relaxed structure of MgVS2.

## Properties
The total energy is -5.187 eV/atom. As for the space-group type: R-3m (166).

Lattice parameters (Å, degrees): 7.636 7.636 7.636 28.29 28.29 28.29
Fractional coordinates of all 4 atoms:
Mg1 0.000 0.000 0.000
V1 0.500 0.500 0.500
S1 0.398 0.398 0.398
S2 0.602 0.602 0.602

VASP calculation (PBE-GGA) on a relaxed structure of GaB2Mo2Ru5.

## Properties
For the energy of formation, the calculation gives -0.3086 eV per atom. The total energy is -8.751 eV/atom. As for the space-group type: P4/mbm (127).

Lattice parameters (Å, degrees): 9.334 9.334 2.915 90.00 90.00 90.00
Fractional coordinates of all 20 atoms:
Ga1 0.000 0.000 0.000
Ga2 0.500 0.500 0.000
B1 0.125 0.375 0.000
B2 0.375 0.875 0.000
B3 0.625 0.125 0.000
B4 0.875 0.625 0.000
Mo1 0.179 0.679 0.000
Mo2 0.321 0.179 0.000
Mo3 0.679 0.821 0.000
Mo4 0.821 0.321 0.000
Ru1 0.000 0.500 0.500
Ru2 0.067 0.216 0.500
Ru3 0.216 0.933 0.500
Ru4 0.284 0.433 0.500
Ru5 0.433 0.716 0.500
Ru6 0.500 0.000 0.500
Ru7 0.567 0.284 0.500
Ru8 0.716 0.567 0.500
Ru9 0.784 0.067 0.500
Ru10 0.933 0.784 0.500